# MnCuPd2Au2 GGA-PBE optimized geometry
# D(E_F)	4.429	states/eV per cell
# E	-5.099	eV per atom
data_MnCuPd2Au2
_chemical_formula_sum 'Mn2 Cu2 Pd4 Au4'
_symmetry_space_group_name_H-M 'P 1 21/m 1'
_symmetry_Int_Tables_number 11
_symmetry_space_group_name_Hall '-P 2yb'
_cell_length_a 5.171
_cell_length_b 5.456
_cell_length_c 7.059
_cell_angle_alpha 90.00
_cell_angle_beta 104.72
_cell_angle_gamma 90.00
loop_
_atom_site_label
_atom_site_type_symbol
_atom_site_fract_x
_atom_site_fract_y
_atom_site_fract_z
Mn1 Mn 0.239 0.250 0.003
Cu1 Cu 0.378 0.250 0.650
Pd1 Pd 0.272 0.750 0.014
Pd2 Pd 0.402 0.750 0.656
Au1 Au 0.092 0.000 0.316

# MnCu2PtAu GGA-PBE optimized geometry
# D(E_F)	7.944	states/eV per cell
# E	-5.373	eV per atom
data_MnCu2PtAu
_chemical_formula_sum 'Mn4 Cu8 Pt4 Au4'
_symmetry_space_group_name_H-M 'C m c m'
_symmetry_Int_Tables_number 63
_symmetry_space_group_name_Hall '-C 2c 2'
_cell_length_a 2.877
_cell_length_b 14.507
_cell_length_c 7.319
_cell_angle_alpha 90.00
_cell_angle_beta 90.00
_cell_angle_gamma 90.00
loop_
_atom_site_label
_atom_site_type_symbol
_atom_site_fract_x
_atom_site_fract_y
_atom_site_fract_z
Mn1 Mn 0.000 0.000 0.000
Cu1 Cu 0.000 0.190 0.062
Pt1 Pt 0.000 0.424 0.750
Au1 Au 0.000 0.363 0.250

# MnCuReAu2 GGA-PBE optimized geometry
# D(E_F)	3.932	states/eV per cell
# E	-4.856	eV per atom
data_MnCuReAu2
_chemical_formula_sum 'Mn1 Cu1 Re1 Au2'
_symmetry_space_group_name_H-M 'P 4/m m m'
_symmetry_Int_Tables_number 123
_symmetry_space_group_name_Hall '-P 4 2'
_cell_length_a 4.787
_cell_length_b 4.787
_cell_length_c 4.371
_cell_angle_alpha 90.00
_cell_angle_beta 90.00
_cell_angle_gamma 90.00
loop_
_atom_site_label
_atom_site_type_symbol
_atom_site_fract_x
_atom_site_fract_y
_atom_site_fract_z
Mn1 Mn 0.000 0.000 0.000
Cu1 Cu 0.000 0.000 0.500
Re1 Re 0.500 0.500 0.500
Au1 Au 0.000 0.500 0.000

# Mn2CuRuAu GGA-PBE optimized geometry
# D(E_F)	5.573	states/eV per cell
# E	-5.460	eV per atom
data_Mn2CuRuAu
_chemical_formula_sum 'Mn2 Cu1 Ru1 Au1'
_symmetry_space_group_name_H-M 'P 4/m m m'
_symmetry_Int_Tables_number 123
_symmetry_space_group_name_Hall '-P 4 2'
_cell_length_a 4.864
_cell_length_b 4.864
_cell_length_c 4.953
_cell_angle_alpha 90.00
_cell_angle_beta 90.00
_cell_angle_gamma 90.00
loop_
_atom_site_label
_atom_site_type_symbol
_atom_site_fract_x
_atom_site_fract_y
_atom_site_fract_z
Mn1 Mn 0.000 0.500 0.000
Cu1 Cu 0.000 0.000 0.500
Ru1 Ru 0.500 0.500 0.500
Au1 Au 0.500 0.500 0.000

# MnCu7Sb2Au2 GGA-PBE optimized geometry
# D(E_F)	11.423	states/eV per cell
# E	-4.268	eV per atom
# formation energy without anion corrections	138	kJ/mol of formula units
data_MnCu7Sb2Au2
_chemical_formula_sum 'Mn2 Cu14 Sb4 Au4'
_symmetry_space_group_name_H-M 'C 1 2/m 1'
_symmetry_Int_Tables_number 12
_symmetry_space_group_name_Hall '-C 2y'
_cell_length_a 5.217
_cell_length_b 5.210
_cell_length_c 14.434
_cell_angle_alpha 90.00
_cell_angle_beta 99.84
_cell_angle_gamma 90.00
loop_
_atom_site_label
_atom_site_type_symbol
_atom_site_fract_x
_atom_site_fract_y
_atom_site_fract_z
Mn1 Mn 0.000 0.000 0.000
Cu1 Cu 0.000 0.500 0.000
Cu2 Cu 0.187 0.251 0.871
Cu3 Cu 0.223 0.500 0.458
Sb1 Sb 0.177 0.000 0.360
Au1 Au 0.131 0.500 0.266

# MnCu2SbAu GGA-PBE optimized geometry
# D(E_F)	2.425	states/eV per cell
# E	-4.205	eV per atom
# formation energy without anion corrections	360	kJ/mol of formula units
data_MnCu2SbAu
_chemical_formula_sum 'Mn1 Cu2 Sb1 Au1'
_symmetry_space_group_name_H-M 'P 4/m m m'
_symmetry_Int_Tables_number 123
_symmetry_space_group_name_Hall '-P 4 2'
_cell_length_a 4.780
_cell_length_b 4.780
_cell_length_c 5.158
_cell_angle_alpha 90.00
_cell_angle_beta 90.00
_cell_angle_gamma 90.00
loop_
_atom_site_label
_atom_site_type_symbol
_atom_site_fract_x
_atom_site_fract_y
_atom_site_fract_z
Mn1 Mn 0.000 0.000 0.000
Cu1 Cu 0.000 0.500 0.500
Sb1 Sb 0.000 0.000 0.500
Au1 Au 0.500 0.500 0.000

> E of number 3 (MnCuReAu2)?

-4.856 eV per atom